No. 1
Below is a relaxed Mn2AlTe crystal, with properties calculated at the PBE level.

ΔE_f (raw) (eV per atom): 0.22
Energy above the most stable polymorph in this dataset (meV per atom): 103

Lattice parameters (Å, degrees): 3.832 3.894 4.460 90.00 90.00 90.00
Space group Pmmm (No. 47)
Asymmetric unit:
Mn1 0.000 0.000 0.000 x1
Mn2 0.000 0.500 0.500 x1
Al1 0.500 0.000 0.500 x1
Te1 0.500 0.500 0.000 x1


No. 2
Below is a relaxed KGa3AgAu crystal, with properties calculated at the PBE level.

Energy relative to the elements (eV per formula unit): -0.14

Lattice parameters (Å, degrees): 6.549 13.523 6.887 90.00 90.00 90.00
Space group Cmcm (No. 63)
Asymmetric unit:
K1 0.000 0.249 0.250 x4
Ga1 0.000 0.309 0.750 x4
Ga2 0.201 0.000 0.000 x8
Ag1 0.000 0.123 0.750 x4
Au1 0.000 0.491 0.750 x4


No. 3
Below is a relaxed Ta3Ti3Ge4 crystal, with properties calculated at the PBE level.

Energy relative to the elements (eV per formula unit): -5.40

Lattice parameters (Å, degrees): 3.503 9.633 9.711 90.00 90.00 90.00
Space group Amm2 (No. 38)
Asymmetric unit:
Ta1 0.000 0.000 0.000 x2
Ta2 0.500 0.248 0.078 x4
Ti1 0.000 0.000 0.660 x2
Ti2 0.000 0.169 0.330 x4
Ge1 0.500 0.000 0.203 x2
Ge2 0.500 0.000 0.463 x2
Ge3 0.500 0.133 0.826 x4


Question: What is the formula in the third record?
Answer: Ta3Ti3Ge4